## BaGeAu2 (GGA-PBE)

Data for a geometry-optimized BaGeAu2 structure.

Values from the calculation:
Fermi-level density of states: 1.6 states/eV/cell
Energy: -15.005 eV/f.u.
Space-group type: R-3m, No. 166
Total moment: 0.000 μB/atom
Formation energy: -478 meV per atom

abc: 6.3410 6.3410 6.3410
angles: 42.93 42.93 42.93
Atoms (fractional coordinates):
1 Ba 0.0000 0.0000 0.0000
2 Ge 0.5000 0.5000 0.5000
3 Au 0.2069 0.2069 0.2069
4 Au 0.7931 0.7931 0.7931

## CaGe2BPb (GGA-PBE)

Data for a geometry-optimized CaGe2BPb structure.

Values from the calculation:
Fermi-level density of states: 3.3 states/eV/cell
Energy: -19.454 eV/f.u.
Space-group type: P4/mmm, No. 123
Total moment: 0.000 μB/atom
Formation energy: 434 meV per atom

abc: 4.6600 4.6600 5.6332
angles: 90.00 90.00 90.00
Atoms (fractional coordinates):
1 Ca 0.0000 0.0000 0.0000
2 Ge 0.0000 0.5000 0.5000
3 Ge 0.5000 0.0000 0.5000
4 B 0.5000 0.5000 0.5000
5 Pb 0.5000 0.5000 0.0000

## BC3 (GGA-PBE)

Data for a geometry-optimized BC3 structure.

Values from the calculation:
Fermi-level density of states: 1.2 states/eV/cell
Energy: -32.988 eV/f.u.
Energy above the most stable polymorph in this dataset: 99 meV/atom
Space-group type: Cmcm, No. 63
Total moment: 0.000 μB/atom
Formation energy: 340 meV per atom

abc: 4.5490 4.5490 2.5266
angles: 90.00 90.00 108.97
Atoms (fractional coordinates):
1 B 0.0829 0.9171 0.7500
2 B 0.9171 0.0829 0.2500
3 C 0.0668 0.4473 0.2500
4 C 0.4368 0.5632 0.2500
5 C 0.4473 0.0668 0.7500
6 C 0.5527 0.9332 0.2500
7 C 0.5632 0.4368 0.7500
8 C 0.9332 0.5527 0.7500

## SrSeF3 (GGA-PBE)

Data for a geometry-optimized SrSeF3 structure.

Values from the calculation:
Fermi-level density of states: 0.0 states/eV/cell
Energy: -21.220 eV/f.u.
Formation energy without anion corrections: -10.44 eV per formula unit
Energy above the most stable polymorph in this dataset: 0 meV/atom
Space-group type: Pm-3m, No. 221
Total moment: 0.600 μB/atom

abc: 4.7561 4.7561 4.7561
angles: 90.00 90.00 90.00
Atoms (fractional coordinates):
1 Sr 0.0000 0.0000 0.0000
2 Se 0.5000 0.5000 0.5000
3 F 0.0000 0.0000 0.5000
4 F 0.0000 0.5000 0.0000
5 F 0.5000 0.0000 0.0000